(1)
Crystalline KBaV3Cd2O11 at its relaxed geometry. Source: Alexandria via LeMat-Bulk, functional PBEsol.

## Properties
- total magnetization (Bohr magnetons per cell) = 0.001
- crystal system = monoclinic
- uncorrected formation energy (eV per atom) = -2.229
- VASP energy (eV/atom) = -7.358

Cell lengths 10.4812, 6.9657, 17.7409 Å; angles 90.00, 121.33, 90.00 degrees
Last column: nearest neighbours and their distance in Å.
Space group P2_1/c (No. 14)
Unique sites:
K  0.0264  0.0641  0.1509 x4  5 O 2.72-2.85
Ba  0.2235  0.0402  0.5377 x4  9 O 2.70-3.01
V  0.1783  0.5320  0.2201 x4  4 O 1.67-1.82
V  0.2647  0.5370  0.5611 x4  4 O 1.67-1.77
V  0.3456  0.6551  0.8622 x4  4 O 1.69-1.81
Cd  0.3857  0.1682  0.9215 x4  6 O 2.25-2.31
Cd  0.4712  0.2270  0.2569 x4  5 O 2.17-2.39
O  0.0393  0.0018  0.6162 x4  1 V 1.67
O  0.1172  0.6810  0.5259 x4  1 V 1.67
O  0.1721  0.7417  0.7696 x4  2 V 1.81-1.82
O  0.1838  0.1522  0.7830 x4  1 V 1.68
O  0.2350  0.1007  0.9736 x4  1 V 1.71
O  0.2732  0.1244  0.1378 x4  1 V 1.73
O  0.3192  0.0207  0.4182 x4  1 V 1.69
O  0.3416  0.5266  0.2194 x4  1 V 1.72
O  0.4213  0.6915  0.6028 x4  1 V 1.77
O  0.4316  0.6582  0.4314 x4  1 V 1.69
O  0.4555  0.5762  0.8240 x4  1 V 1.70


(2)
Crystalline KBa2Cd2Sb3 at its relaxed geometry. Source: Alexandria via LeMat-Bulk, functional PBEsol.

## Properties
- total magnetization (Bohr magnetons per cell) = 0.000
- crystal system = orthorhombic
- uncorrected formation energy (eV per atom) = -0.710
- VASP energy (eV/atom) = -3.397

Cell lengths 13.0749, 4.9247, 16.6496 Å; angles 90.00, 90.00, 90.00 degrees
Last column: nearest neighbours and their distance in Å.
Space group Pnma (No. 62)
Unique sites:
K  0.1022  0.2500  0.0549 x4  4 Sb 3.44-3.58, 3 Cd 3.67-3.85
Ba  0.0986  0.7500  0.4290 x4  5 Sb 3.47-3.56, 5 Cd 3.48-3.83
Ba  0.1278  0.2500  0.7914 x4  6 Sb 3.44-3.62, 1 Cd 3.54
Cd  0.1351  0.2500  0.2845 x4  4 Sb 2.86-3.09
Cd  0.1936  0.2500  0.5853 x4  4 Sb 2.91-3.01
Sb  0.0788  0.7500  0.6370 x4  3 Cd 3.01-3.09
Sb  0.1350  0.7500  0.1971 x4  3 Cd 2.86-2.91
Sb  0.2139  0.7500  0.9260 x4  2 Cd 2.91-3.07


(3)
Crystalline K2BaCdSb2 at its relaxed geometry. Source: Alexandria via LeMat-Bulk, functional PBEsol.

## Properties
- total magnetization (Bohr magnetons per cell) = 0.000
- crystal system = orthorhombic
- uncorrected formation energy (eV per atom) = -0.631
- VASP energy (eV/atom) = -3.086

Cell lengths 5.0102, 9.8109, 8.4550 Å; angles 90.00, 90.00, 90.00 degrees
Last column: nearest neighbours and their distance in Å.
Space group Pmc2_1 (No. 26)
Unique sites:
K  0.0000  0.0790  0.0000 x2  3 Sb 3.59-3.79, 4 K 3.74-3.81, 1 Cd 3.92
K  0.5000  0.1608  0.6744 x2  4 Sb 3.33-3.47
Ba  0.5000  0.4492  0.0197 x2  5 Sb 3.44-3.55, 2 Cd 3.60
Cd  0.0000  0.3235  0.3665 x2  4 Sb 2.96-3.14
Sb  0.0000  0.3877  0.7300 x2  2 Cd 3.06-3.14, 2 K 3.38
Sb  0.5000  0.1806  0.2807 x2  2 Cd 2.96


(4)
Crystalline BaLaCd2 at its relaxed geometry. Source: Alexandria via LeMat-Bulk, functional PBEsol.

## Properties
- total magnetization (Bohr magnetons per cell) = 0.003
- crystal system = tetragonal
- ΔH_f (0 K) (eV per atom) = -0.12
- VASP energy (eV/atom) = -2.589

Cell lengths 4.8180, 4.8180, 10.3273 Å; angles 90.00, 90.00, 90.00 degrees
Last column: nearest neighbours and their distance in Å.
Space group I-4m2 (No. 119)
Unique sites:
Ba  0.0000  0.0000  0.0000 x2  8 Cd 3.41-3.53, 4 La 3.53
La  0.0000  0.5000  0.7500 x2  8 Cd 3.41-3.53, 4 Ba 3.53
Cd  0.0000  0.0000  0.5000 x2  4 Ba 3.41, 4 La 3.53, 4 Cd 3.53
Cd  0.0000  0.5000  0.2500 x2  4 La 3.41, 4 Cd 3.53, 4 Ba 3.53


(5)
Crystalline BaLaCd2 at its relaxed geometry. Source: Alexandria via LeMat-Bulk, functional PBEsol.

## Properties
- total magnetization (Bohr magnetons per cell) = 0.000
- crystal system = tetragonal
- ΔH_f (0 K) (eV per atom) = -0.26
- VASP energy (eV/atom) = -2.731

Cell lengths 5.6752, 5.6752, 3.9373 Å; angles 90.00, 90.00, 90.00 degrees
Last column: nearest neighbours and their distance in Å.
Space group P4/mmm (No. 123)
Unique sites:
Ba  0.0000  0.0000  0.0000 x1  8 Cd 3.45
La  0.5000  0.5000  0.0000 x1  8 Cd 3.45
Cd  0.0000  0.5000  0.5000 x2  4 Ba 3.45, 4 La 3.45


(6)
Crystalline BaLaCd at its relaxed geometry. Source: Alexandria via LeMat-Bulk, functional PBEsol.

## Properties
- total magnetization (Bohr magnetons per cell) = 0.002
- crystal system = cubic
- distance to the lowest polymorph of the same formula (meV/atom) = 410
- ΔH_f (0 K) (eV per atom) = 0.28
- VASP energy (eV/atom) = -2.616

Cell lengths 7.5111, 7.5111, 7.5111 Å; angles 90.00, 90.00, 90.00 degrees
Last column: nearest neighbours and their distance in Å.
Space group F-43m (No. 216)
Unique sites:
Ba  0.0000  0.0000  0.0000 x4  4 La 3.25
La  0.2500  0.2500  0.7500 x4  4 Cd 3.25, 4 Ba 3.25
Cd  0.0000  0.0000  0.5000 x4  4 La 3.25


(7)
Crystalline Ba4LaCd at its relaxed geometry. Source: Alexandria via LeMat-Bulk, functional PBEsol.

## Properties
- total magnetization (Bohr magnetons per cell) = 0.074
- crystal system = cubic
- ΔH_f (0 K) (eV per atom) = 0.43
- VASP energy (eV/atom) = -2.090

Cell lengths 10.2272, 10.2272, 10.2272 Å; angles 90.00, 90.00, 90.00 degrees
Last column: nearest neighbours and their distance in Å.
Space group F-43m (No. 216)
Unique sites:
Ba  0.1243  0.1243  0.3757 x16  6 Ba 3.60-3.64
La  0.0000  0.0000  0.0000 x4  12 Ba 4.24, 4 Cd 4.43
Cd  0.2500  0.2500  0.7500 x4  12 Ba 4.24, 4 La 4.43


(8)
Crystalline BaLaCd2 at its relaxed geometry. Source: Alexandria via LeMat-Bulk, functional PBEsol.

## Properties
- total magnetization (Bohr magnetons per cell) = 0.000
- crystal system = tetragonal
- ΔH_f (0 K) (eV per atom) = -0.09
- VASP energy (eV/atom) = -2.564

Cell lengths 3.9378, 3.9378, 8.4319 Å; angles 90.00, 90.00, 90.00 degrees
Last column: nearest neighbours and their distance in Å.
Space group P4mm (No. 99)
Unique sites:
Ba  0.0000  0.0000  0.0000 x1  5 Cd 3.51-3.62
La  0.5000  0.5000  0.6385 x1  5 Cd 3.25-3.30
Cd  0.0000  0.0000  0.4289 x1  4 Cd 3.15, 4 La 3.30
Cd  0.5000  0.5000  0.2532 x1  4 Cd 3.15, 1 La 3.25, 4 Ba 3.51


(9)
Crystalline BaLaCd at its relaxed geometry. Source: Alexandria via LeMat-Bulk, functional PBEsol.

## Properties
- total magnetization (Bohr magnetons per cell) = 0.000
- crystal system = tetragonal
- distance to the lowest polymorph of the same formula (meV/atom) = 0
- ΔH_f (0 K) (eV per atom) = -0.13
- VASP energy (eV/atom) = -3.026

Cell lengths 3.9905, 3.9905, 13.8728 Å; angles 90.00, 90.00, 90.00 degrees
Last column: nearest neighbours and their distance in Å.
Space group I4mm (No. 107)
Unique sites:
Ba  0.0000  0.0000  0.0000 x2  4 Cd 3.60, 1 La 3.86, 4 Ba 3.99
La  0.0000  0.0000  0.7215 x2  4 Cd 3.26
Cd  0.0000  0.0000  0.3390 x2  4 La 3.26, 4 Ba 3.60


(10)
Crystalline BaSrLa2Cd at its relaxed geometry. Source: Alexandria via LeMat-Bulk, functional PBEsol.

## Properties
- total magnetization (Bohr magnetons per cell) = 0.000
- crystal system = tetragonal
- ΔH_f (0 K) (eV per atom) = 0.78
- VASP energy (eV/atom) = -2.393

Cell lengths 5.8291, 5.8291, 6.0606 Å; angles 90.00, 90.00, 90.00 degrees
Last column: nearest neighbours and their distance in Å.
Space group P4/mmm (No. 123)
Unique sites:
Ba  0.0000  0.0000  0.0000 x1  4 La 2.91, 2 Sr 3.03
Sr  0.0000  0.0000  0.5000 x1  2 Ba 3.03
La  0.0000  0.5000  0.0000 x2  2 Ba 2.91
Cd  0.5000  0.5000  0.5000 x1  4 Sr 4.12, 8 La 4.20


(11)
Crystalline BaLi2Cd2 at its relaxed geometry. Source: Alexandria via LeMat-Bulk, functional PBEsol.

## Properties
- total magnetization (Bohr magnetons per cell) = 0.001
- crystal system = tetragonal
- distance to the lowest polymorph of the same formula (meV/atom) = 0
- ΔH_f (0 K) (eV per atom) = -0.18
- VASP energy (eV/atom) = -1.874

Cell lengths 4.4887, 4.4887, 13.4777 Å; angles 90.00, 90.00, 90.00 degrees
Last column: nearest neighbours and their distance in Å.
Space group I4/mmm (No. 139)
Unique sites:
Ba  0.0000  0.0000  0.0000 x2  8 Cd 3.54
Li  0.0000  0.5000  0.2500 x4  4 Cd 2.88, 4 Li 3.17
Cd  0.0000  0.0000  0.3836 x4  4 Li 2.88, 1 Cd 3.14


(12)
Crystalline BaLiCd2 at its relaxed geometry. Source: Alexandria via LeMat-Bulk, functional PBEsol.

## Properties
- total magnetization (Bohr magnetons per cell) = 0.000
- crystal system = trigonal
- distance to the lowest polymorph of the same formula (meV/atom) = 12
- ΔH_f (0 K) (eV per atom) = -0.24
- VASP energy (eV/atom) = -1.864

Cell lengths 4.8543, 4.8543, 17.2077 Å; angles 90.00, 90.00, 120.00 degrees
Last column: nearest neighbours and their distance in Å.
Space group R3m (No. 160, hexagonal axes)
Unique sites:
Ba  0.0000  0.0000  0.0000 x3  1 Li 3.30, 4 Cd 3.43-3.63
Li  0.0000  0.0000  0.8081 x3  6 Cd 2.82-2.97
Cd  0.0000  0.0000  0.1991 x3  3 Cd 2.88, 3 Li 2.97
Cd  0.0000  0.0000  0.4951 x3  3 Li 2.82, 3 Cd 2.88


(13)
Crystalline BaLiCd4 at its relaxed geometry. Source: Alexandria via LeMat-Bulk, functional PBEsol.

## Properties
- total magnetization (Bohr magnetons per cell) = 0.001
- crystal system = cubic
- ΔH_f (0 K) (eV per atom) = -0.22
- VASP energy (eV/atom) = -1.708

Cell lengths 8.4923, 8.4923, 8.4923 Å; angles 90.00, 90.00, 90.00 degrees
Last column: nearest neighbours and their distance in Å.
Space group F-43m (No. 216)
Unique sites:
Ba  0.0000  0.0000  0.0000 x4  12 Cd 3.52, 4 Li 3.68
Li  0.2500  0.2500  0.7500 x4  12 Cd 3.52, 4 Ba 3.68
Cd  0.1236  0.1236  0.3764 x16  6 Cd 2.97-3.04


(14)
Crystalline Ba2LiCd2 at its relaxed geometry. Source: Alexandria via LeMat-Bulk, functional PBEsol.

## Properties
- total magnetization (Bohr magnetons per cell) = 0.000
- crystal system = tetragonal
- ΔH_f (0 K) (eV per atom) = -0.16
- VASP energy (eV/atom) = -1.893

Cell lengths 8.7566, 8.7566, 4.7478 Å; angles 90.00, 90.00, 90.00 degrees
Last column: nearest neighbours and their distance in Å.
Space group P4/mbm (No. 127)
Unique sites:
Ba  0.1703  0.3297  0.0000 x4  6 Cd 3.46-3.54
Li  0.0000  0.0000  0.5000 x2  4 Cd 3.46
Cd  0.1261  0.6261  0.5000 x4  1 Cd 3.12, 2 Li 3.46, 2 Ba 3.46


(15)
Crystalline BaLi2Cd at its relaxed geometry. Source: Alexandria via LeMat-Bulk, functional PBEsol.

## Properties
- total magnetization (Bohr magnetons per cell) = 0.000
- crystal system = trigonal
- ΔH_f (0 K) (eV per atom) = -0.13
- VASP energy (eV/atom) = -1.951

Cell lengths 4.8822, 4.8822, 17.5172 Å; angles 90.00, 90.00, 120.00 degrees
Last column: nearest neighbours and their distance in Å.
Space group R3m (No. 160, hexagonal axes)
Unique sites:
Ba  0.0000  0.0000  0.0000 x3  4 Li 3.36-3.75, 4 Cd 3.49-3.67
Li  0.0000  0.0000  0.5090 x3  3 Cd 2.85, 3 Li 2.88
Li  0.0000  0.0000  0.8082 x3  3 Li 2.88, 3 Cd 2.99
Cd  0.0000  0.0000  0.1993 x3  6 Li 2.85-2.99


(16)
Crystalline BaLi2Cd at its relaxed geometry. Source: Alexandria via LeMat-Bulk, functional PBEsol.

## Properties
- total magnetization (Bohr magnetons per cell) = 0.000
- crystal system = trigonal
- ΔH_f (0 K) (eV per atom) = -0.11
- VASP energy (eV/atom) = -1.932

Cell lengths 4.8289, 4.8289, 17.2597 Å; angles 90.00, 90.00, 120.00 degrees
Last column: nearest neighbours and their distance in Å.
Space group R-3m (No. 166, hexagonal axes)
Unique sites:
Ba  0.0000  0.0000  0.0000 x3  8 Li 3.40-3.65
Li  0.0000  0.0000  0.1972 x6  3 Cd 2.84, 3 Li 2.98
Cd  0.0000  0.0000  0.5000 x3  6 Li 2.84


(17)
Crystalline Ba2LiCd at its relaxed geometry. Source: Alexandria via LeMat-Bulk, functional PBEsol.

## Properties
- total magnetization (Bohr magnetons per cell) = 0.000
- crystal system = orthorhombic
- ΔH_f (0 K) (eV per atom) = -0.13
- VASP energy (eV/atom) = -1.998

Cell lengths 5.3333, 4.6511, 12.5843 Å; angles 90.00, 90.00, 90.00 degrees
Last column: nearest neighbours and their distance in Å.
Space group Amm2 (No. 38)
Unique sites:
Ba  0.0000  0.0000  0.0000 x2  3 Cd 3.49-3.69, 4 Li 3.71
Ba  0.5000  0.0000  0.2893 x2  3 Li 3.44-3.76, 4 Cd 3.69
Li  0.5000  0.0000  0.5878 x2  2 Cd 3.06
Cd  0.0000  0.0000  0.7068 x2  2 Li 3.06


(18)
Crystalline BaLi2Cd at its relaxed geometry. Source: Alexandria via LeMat-Bulk, functional PBEsol.

## Properties
- total magnetization (Bohr magnetons per cell) = 0.000
- crystal system = tetragonal
- ΔH_f (0 K) (eV per atom) = -0.10
- VASP energy (eV/atom) = -1.920

Cell lengths 3.7915, 3.7915, 7.8580 Å; angles 90.00, 90.00, 90.00 degrees
Last column: nearest neighbours and their distance in Å.
Space group P4mm (No. 99)
Unique sites:
Ba  0.0000  0.0000  0.0000 x1  4 Cd 3.53, 5 Li 3.62-3.83, 4 Ba 3.79
Li  0.0000  0.0000  0.4606 x1  4 Cd 2.99, 4 Li 3.07
Li  0.5000  0.5000  0.6513 x1  1 Cd 2.82, 4 Li 3.07
Cd  0.5000  0.5000  0.2924 x1  5 Li 2.82-2.99


(19)
Crystalline BaLi3Cd at its relaxed geometry. Source: Alexandria via LeMat-Bulk, functional PBEsol.

## Properties
- total magnetization (Bohr magnetons per cell) = 0.001
- crystal system = cubic
- ΔH_f (0 K) (eV per atom) = -0.02
- VASP energy (eV/atom) = -1.866

Cell lengths 5.2592, 5.2592, 5.2592 Å; angles 90.00, 90.00, 90.00 degrees
Last column: nearest neighbours and their distance in Å.
Space group Pm-3m (No. 221)
Unique sites:
Ba  0.0000  0.0000  0.0000 x1  12 Li 3.72
Li  0.0000  0.5000  0.5000 x3  2 Cd 2.63
Cd  0.5000  0.5000  0.5000 x1  6 Li 2.63


(20)
Crystalline BaLiCd2 at its relaxed geometry. Source: Alexandria via LeMat-Bulk, functional PBEsol.

## Properties
- total magnetization (Bohr magnetons per cell) = 0.000
- crystal system = orthorhombic
- distance to the lowest polymorph of the same formula (meV/atom) = 49
- ΔH_f (0 K) (eV per atom) = -0.20
- VASP energy (eV/atom) = -1.828

Cell lengths 3.6224, 3.7633, 7.8323 Å; angles 90.00, 90.00, 90.00 degrees
Last column: nearest neighbours and their distance in Å.
Space group Pmmm (No. 47)
Unique sites:
Ba  0.0000  0.0000  0.0000 x1  8 Cd 3.59, 4 Ba 3.62-3.76, 2 Li 3.92
Li  0.0000  0.0000  0.5000 x1  8 Cd 2.99
Cd  0.5000  0.5000  0.3146 x2  1 Cd 2.90, 4 Li 2.99